DFT (PBE) results for crystalline RbY2Re2 at its relaxed geometry.

Cell lengths 8.856, 8.856, 3.209 Å; angles 90.00, 90.00, 90.00 degrees
Space group P4/mbm (No. 127)
Symmetry-distinct sites (fractional):
Rb1 0.000 0.000 0.000 (multiplicity 2)
Y1 0.187 0.313 0.000 (multiplicity 4)
Re1 0.093 0.593 0.500 (multiplicity 4)

Output
Its magnetization is 0.00 μB per formula unit. The total DFT energy (no corrections) comes out at -7.054 eV/atom. For the density of states at the Fermi level, the calculation gives 5.27 states/eV/f.u. The excess energy over the best structure of this formula in the dataset comes out at 0.923 eV/f.u. The formation enthalpy at 0 K comes out at 3.520 eV per formula unit.

=====

DFT (PBE) results for crystalline TeMoPb2 at its relaxed geometry.

Cell lengths 3.2136, 3.2136, 35.6494 Å; angles 90.00, 90.00, 120.00 degrees
Space group R-3m (No. 166, hexagonal axes)
Symmetry-distinct sites (fractional):
Te1 0.0000 0.0000 0.0000 (multiplicity 3)
Mo1 0.0000 0.0000 0.5000 (multiplicity 3)
Pb1 0.0000 0.0000 0.2344 (multiplicity 6)

Output
Its magnetization is 0.00 μB per formula unit. The total DFT energy (no corrections) comes out at -4.803 eV/atom. The formation energy (no corrections) comes out at 0.54 eV/atom. For the density of states at the Fermi level, the calculation gives 3.97 states/eV/f.u.

=====

DFT (PBE) results for crystalline AlSbW at its relaxed geometry.

Cell lengths 3.708, 4.641, 13.444 Å; angles 90.00, 90.00, 90.00 degrees
Space group Fmm2 (No. 42)
Symmetry-distinct sites (fractional):
Al1 0.000 0.000 0.000 (multiplicity 4)
Sb1 0.000 0.000 0.696 (multiplicity 4)
W1 0.000 0.000 0.360 (multiplicity 4)

Output
Its magnetization is 0.00 μB per formula unit. The total DFT energy (no corrections) comes out at -6.421 eV/atom. The formation energy (no corrections) comes out at 0.52 eV/atom. For the density of states at the Fermi level, the calculation gives 2.60 states/eV/f.u. The excess energy over the best structure of this formula in the dataset comes out at 1.267 eV/f.u.

=====

DFT (PBE) results for crystalline Ti2PS at its relaxed geometry.

Cell lengths 3.4394, 3.4394, 18.1373 Å; angles 90.00, 90.00, 120.00 degrees
Space group R3m (No. 160, hexagonal axes)
Symmetry-distinct sites (fractional):
Ti1 0.0000 0.0000 0.0000 (multiplicity 3)
Ti2 0.0000 0.0000 0.1789 (multiplicity 3)
P1 0.0000 0.0000 0.5895 (multiplicity 3)
S1 0.0000 0.0000 0.4211 (multiplicity 3)

Output
Its magnetization is 0.00 μB per formula unit. The total DFT energy (no corrections) comes out at -7.550 eV/atom. The formation energy (no corrections) comes out at -1.22 eV/atom. For the density of states at the Fermi level, the calculation gives 3.20 states/eV/f.u. The excess energy over the best structure of this formula in the dataset comes out at 0.000 eV/f.u.

=====

DFT (PBE) results for crystalline NdY2Sc at its relaxed geometry.

Cell lengths 12.803, 3.608, 6.174 Å; angles 90.00, 118.69, 90.00 degrees
Space group Cm (No. 8)
Symmetry-distinct sites (fractional):
Nd1 0.000 0.000 0.000 (multiplicity 2)
Y1 0.014 0.500 0.512 (multiplicity 2)
Y2 0.258 0.500 0.412 (multiplicity 2)
Sc1 0.256 0.000 0.917 (multiplicity 2)

Output
Its magnetization is 0.00 μB per formula unit. The total DFT energy (no corrections) comes out at -5.965 eV/atom. For the density of states at the Fermi level, the calculation gives 7.27 states/eV/f.u. The excess energy over the best structure of this formula in the dataset comes out at 0.051 eV/f.u. The formation enthalpy at 0 K comes out at 0.168 eV per formula unit.

=====

DFT (PBE) results for crystalline Mg5Ga4Pb at its relaxed geometry.

Cell lengths 3.443, 3.443, 17.586 Å; angles 90.00, 90.00, 90.00 degrees
Space group P4/mmm (No. 123)
Symmetry-distinct sites (fractional):
Mg1 0.000 0.000 0.000 (multiplicity 1)
Mg2 0.000 0.000 0.188 (multiplicity 2)
Mg3 0.000 0.000 0.374 (multiplicity 2)
Ga1 0.500 0.500 0.094 (multiplicity 2)
Ga2 0.500 0.500 0.281 (multiplicity 2)
Pb1 0.500 0.500 0.500 (multiplicity 1)

Output
Its magnetization is 0.00 μB per formula unit. The total DFT energy (no corrections) comes out at -2.493 eV/atom. For the density of states at the Fermi level, the calculation gives 3.75 states/eV/f.u. The formation enthalpy at 0 K comes out at -1.145 eV per formula unit.